# Ac3La4Tb4

Crystalline Ac3La4Tb4 at its relaxed geometry (PBE, Alexandria via LeMat-Bulk).

## Properties
density: 7.6 g cm⁻³
DOS(E_F): 18.00 states/eV/cell
size of the total moment: 0.0000 μB/atom
symmetry: C2/m (12)
DFT total energy: -4.54 eV/atom
energy of formation: 0.05 eV/atom

a b c (Å): 3.7017 5.9080 19.0139
angles (deg): 81.11 84.39 89.98
Sites, in units of the cell vectors:
Ac (0.1372, 0.6372, 0.7258)
Ac (0.8628, 0.3628, 0.2742)
Ac (0.0001, 0.0001, 0.9999)
La (0.5916, 0.0922, 0.8160)
La (0.2657, 0.2658, 0.4682)
La (0.7342, 0.7341, 0.5320)
La (0.4085, 0.9079, 0.1838)
Tb (0.5458, 0.5459, 0.9095)
Tb (0.4544, 0.4542, 0.0903)
Tb (0.3175, 0.8171, 0.3654)
Tb (0.6824, 0.1829, 0.6348)

# CsNaUF6

Crystalline CsNaUF6 at its relaxed geometry (PBE, Alexandria via LeMat-Bulk).

## Properties
formation energy (no corrections): -2777 kJ/mol of formula units
density: 4.0 g cm⁻³
DOS(E_F): 7.47 states/eV/cell
size of the total moment: 0.2222 μB/atom
symmetry: Imma (74)
DFT total energy: -5.94 eV/atom

a b c (Å): 8.7822 8.1950 8.4021
angles (deg): 119.19 121.51 90.00
Sites, in units of the cell vectors:
Cs (0.7940, 0.5440, 0.5880)
Cs (0.2060, 0.4560, 0.4120)
Na (0.5000, 0.5000, 0.0000)
Na (0.5000, 0.0000, 0.0000)
U (0.5000, 0.0000, 0.5000)
U (0.0000, 0.0000, 0.5000)
F (0.4314, 0.6814, 0.8629)
F (0.8120, 0.0620, 0.6239)
F (0.8348, 0.0812, 0.2718)
F (0.4370, 0.6907, 0.2718)
F (0.4370, 0.0812, 0.2718)
F (0.8348, 0.6907, 0.2718)
F (0.5686, 0.3186, 0.1371)
F (0.1880, 0.9380, 0.3761)
F (0.1652, 0.9188, 0.7282)
F (0.5630, 0.3093, 0.7282)
F (0.5630, 0.9188, 0.7282)
F (0.1652, 0.3093, 0.7282)

# BeS2I2

Crystalline BeS2I2 at its relaxed geometry (PBE, Alexandria via LeMat-Bulk).

## Properties
formation energy (no corrections): 71 kJ/mol of formula units
density: 3.6 g cm⁻³
DOS(E_F): 2.13 states/eV/cell
size of the total moment: 0.0000 μB/atom
symmetry: I4/mmm (139)
DFT total energy: -2.87 eV/atom

a b c (Å): 6.0578 6.0578 5.9094
angles (deg): 59.17 59.17 90.00
Sites, in units of the cell vectors:
I (0.7500, 0.2500, 0.5000)
I (0.2500, 0.7500, 0.5000)
Be (0.0000, 0.0000, 0.0000)
S (0.2380, 0.2380, 0.5239)
S (0.7620, 0.7620, 0.4761)

# Pr4GaN

Crystalline Pr4GaN at its relaxed geometry (PBE, Alexandria via LeMat-Bulk).

## Properties
formation energy (no corrections): -299 kJ/mol of formula units
density: 6.2 g cm⁻³
DOS(E_F): 12.10 states/eV/cell
size of the total moment: 0.0000 μB/atom
symmetry: P2/c (13)
DFT total energy: -5.59 eV/atom

a b c (Å): 3.6876 10.5240 9.1314
angles (deg): 99.91 90.00 90.00
Sites, in units of the cell vectors:
Pr (0.5001, 0.6665, 0.5505)
Pr (0.5001, 0.8335, 0.9495)
Pr (0.9993, 0.9856, 0.2775)
Pr (0.9993, 0.5144, 0.2225)
Pr (0.0007, 0.0144, 0.7225)
Pr (0.0007, 0.4856, 0.7775)
Pr (0.4999, 0.1665, 0.0505)
Pr (0.4999, 0.3335, 0.4495)
Ga (0.5013, 0.2500, 0.7500)
Ga (0.4987, 0.7500, 0.2500)
N (0.0000, 0.5000, 0.5000)
N (0.0000, 0.0000, 0.0000)

# TaRe2Au

Crystalline TaRe2Au at its relaxed geometry (PBE, Alexandria via LeMat-Bulk).

## Properties
density: 19.2 g cm⁻³
DOS(E_F): 2.79 states/eV/cell
size of the total moment: 0.0000 μB/atom
symmetry: Cmmm (65)
DFT total energy: -9.76 eV/atom
energy of formation: 0.25 eV/atom

a b c (Å): 4.7443 4.7443 3.0207
angles (deg): 90.00 90.00 106.89
Sites, in units of the cell vectors:
Au (0.0000, 0.5000, 0.5000)
Re (0.0000, 0.0000, 0.0000)
Re (0.5000, 0.5000, 0.0000)
Ta (0.5000, 0.0000, 0.5000)

# MnReSe2

Crystalline MnReSe2 at its relaxed geometry (PBE, Alexandria via LeMat-Bulk).

## Properties
formation energy (no corrections): 66 kJ/mol of formula units
density: 8.2 g cm⁻³
DOS(E_F): 2.97 states/eV/cell
size of the total moment: 0.8708 μB/atom
symmetry: Cm (8)
DFT total energy: -6.98 eV/atom

a b c (Å): 4.3591 4.3591 6.3076
angles (deg): 81.67 81.67 43.00
Sites, in units of the cell vectors:
Mn (0.5069, 0.5069, 0.4794)
Re (0.2449, 0.2449, 0.2938)
Se (0.9775, 0.9775, 0.1099)
Se (0.7707, 0.7707, 0.6168)

# Y3Hg3Rh2

Crystalline Y3Hg3Rh2 at its relaxed geometry (PBE, Alexandria via LeMat-Bulk).

## Properties
density: 9.8 g cm⁻³
DOS(E_F): 8.01 states/eV/cell
size of the total moment: 0.0000 μB/atom
symmetry: P-62m (189)
DFT total energy: -5.01 eV/atom
energy of formation: -0.63 eV/atom

a b c (Å): 3.6120 7.6302 7.6302
angles (deg): 120.00 90.00 90.00
Sites, in units of the cell vectors:
Y (0.5000, 0.4196, 0.4196)
Y (0.5000, 0.5804, 0.0000)
Y (0.5000, 0.0000, 0.5804)
Hg (0.0000, 0.7637, 0.7637)
Hg (0.0000, 0.2363, 0.0000)
Hg (0.0000, 0.0000, 0.2363)
Rh (0.0000, 0.3333, 0.6667)
Rh (0.0000, 0.6667, 0.3333)

# BeTl2Au

Crystalline BeTl2Au at its relaxed geometry (PBE, Alexandria via LeMat-Bulk).

## Properties
density: 11.5 g cm⁻³
DOS(E_F): 1.44 states/eV/cell
size of the total moment: 0.0000 μB/atom
symmetry: Immm (71)
DFT total energy: -2.46 eV/atom
energy of formation: 0.47 eV/atom

a b c (Å): 5.2604 5.2604 5.2604
angles (deg): 135.28 115.76 81.65
Sites, in units of the cell vectors:
Be (0.2500, 0.7500, 0.5000)
Tl (0.0228, 0.0228, 0.0000)
Tl (0.4772, 0.4772, 0.0000)
Au (0.7500, 0.2500, 0.5000)

# LiHf

Crystalline LiHf at its relaxed geometry (PBE, Alexandria via LeMat-Bulk).

## Properties
density: 8.0 g cm⁻³
DOS(E_F): 14.50 states/eV/cell
size of the total moment: 0.0002 μB/atom
symmetry: Cmmm (65)
DFT total energy: -5.61 eV/atom
energy of formation: 0.33 eV/atom

a b c (Å): 5.1475 14.5205 3.0773
angles (deg): 90.00 90.00 90.00
Sites, in units of the cell vectors:
Li (0.0000, 0.8569, 0.5000)
Li (0.0000, 0.1431, 0.5000)
Li (0.5000, 0.3569, 0.5000)
Li (0.5000, 0.6431, 0.5000)
Li (0.0000, 0.0000, 0.0000)
Li (0.5000, 0.5000, 0.0000)
Hf (0.0000, 0.3246, 0.0000)
Hf (0.0000, 0.6754, 0.0000)
Hf (0.5000, 0.8246, 0.0000)
Hf (0.5000, 0.1754, 0.0000)
Hf (0.5000, 0.0000, 0.5000)
Hf (0.0000, 0.5000, 0.5000)

# LaDy7Ho3

Crystalline LaDy7Ho3 at its relaxed geometry (PBE, Alexandria via LeMat-Bulk).

## Properties
density: 8.2 g cm⁻³
DOS(E_F): 16.61 states/eV/cell
size of the total moment: 0.0000 μB/atom
symmetry: P2/m (10)
DFT total energy: -4.48 eV/atom
energy of formation: 0.14 eV/atom

a b c (Å): 8.8983 9.8606 5.5572
angles (deg): 90.00 128.64 104.85
Sites, in units of the cell vectors:
La (0.5000, 0.5000, 0.5000)
Dy (0.9271, 0.8321, 0.9272)
Dy (0.8282, 0.6428, 0.3282)
Dy (0.6463, 0.2893, 0.1465)
Dy (0.3537, 0.7107, 0.8535)
Dy (0.5000, 0.0000, 0.5000)
Dy (0.1718, 0.3572, 0.6718)
Dy (0.0729, 0.1679, 0.0728)
Ho (0.2239, 0.0044, 0.7241)
Ho (0.0000, 0.5000, 0.0000)
Ho (0.7761, 0.9956, 0.2759)

# ScP2SN

Crystalline ScP2SN at its relaxed geometry (PBE, Alexandria via LeMat-Bulk).

## Properties
formation energy (no corrections): 120 kJ/mol of formula units
density: 3.6 g cm⁻³
DOS(E_F): 3.66 states/eV/cell
size of the total moment: 0.0000 μB/atom
symmetry: P4/mmm (123)
DFT total energy: -5.67 eV/atom

a b c (Å): 3.9115 3.9115 4.6711
angles (deg): 90.00 90.00 90.00
Sites, in units of the cell vectors:
Sc (0.5000, 0.5000, 0.5000)
P (0.0000, 0.5000, 0.0000)
P (0.5000, 0.0000, 0.0000)
S (0.0000, 0.0000, 0.5000)
N (0.0000, 0.0000, 0.0000)

Which value of size of the total moment does entry 8 give?
0.0000 μB/atom

Look up the density of the fifth one.
19.2 g cm⁻³

density of number 1 (Ac3La4Tb4)?
7.6 g cm⁻³